Below is a relaxed structure of Na5Fe3F14, with properties calculated at the GGA+U level.

The calculation puts the density of states at the Fermi level at 0.00 states/eV per atom. The calculation puts the volume at 295.55 Å³/f.u. As for the electronic total energy: -4.680 eV/atom. As for the mass density: 3.1 g/cm3.

The structure belongs to space group P4_2/mnm (No. 136); the cell edges are 7.629, 7.629 and 10.156 Å and the angles 90.00°, 90.00° and 90.00°. The distinct sites, in fractional coordinates, are Na at (0.000, 0.000, 0.000), Na at (0.239, 0.239, 0.258), Fe at (0.000, 0.000, 0.500), Fe at (0.000, 0.500, 0.000), F at (0.000, 0.000, 0.310), F at (0.001, 0.684, 0.127) and F at (0.004, 0.251, 0.500).